Here is an optimized crystal structure of CrNiMoRu from Alexandria. Energies are from PBE.

Cell lengths 3.6925, 3.7426, 3.7812 Å; angles 90.00, 90.00, 90.00 degrees
With the nearest neighbours (Å) after each atom.
Space group Pmmm (No. 47)
One atom of each set of equivalent atoms:
Cr  0.0000  0.0000  0.0000 x1  4 Mo 2.63, 4 Ru 2.64, 4 Ni 2.66
Ni  0.0000  0.5000  0.5000 x1  4 Ru 2.63, 4 Mo 2.64, 4 Cr 2.66
Mo  0.5000  0.5000  0.0000 x1  4 Cr 2.63, 4 Ni 2.64, 4 Ru 2.66
Ru  0.5000  0.0000  0.5000 x1  4 Ni 2.63, 4 Cr 2.64, 4 Mo 2.66

Values from the calculation:
Density of states at the Fermi level   0.800 states/eV per atom
Volume   13.064 A^3/atom
Energy above the lowest structure with this stoichiometry   0.0 meV/atom
Formation energy from the elements   15.0 meV/atom



Here is an optimized crystal structure of Fe2MoRhC from Alexandria. Energies are from PBE.

Cell lengths 3.8128, 3.8128, 4.1390 Å; angles 90.00, 90.00, 90.00 degrees
With the nearest neighbours (Å) after each atom.
Space group P4/mmm (No. 123)
One atom of each set of equivalent atoms:
Fe  0.0000  0.5000  0.0000 x2  2 C 1.91
Mo  0.0000  0.0000  0.5000 x1  2 C 2.07
Rh  0.5000  0.5000  0.5000 x1  4 Mo 2.70, 8 Fe 2.81
C  0.0000  0.0000  0.0000 x1  4 Fe 1.91, 2 Mo 2.07

Values from the calculation:
Density of states at the Fermi level   1.052 states/eV per atom
Volume   12.035 A^3/atom
Formation energy from the elements   115.4 meV/atom



Here is an optimized crystal structure of Hf2FeOs from Alexandria. Energies are from PBE.

Cell lengths 7.0726, 7.0726, 5.6940 Å; angles 90.00, 90.00, 90.00 degrees
With the nearest neighbours (Å) after each atom.
Space group I-42d (No. 122)
One atom of each set of equivalent atoms:
Hf  0.2427  0.2500  0.1250 x8  2 Fe 2.57, 2 Os 2.64, 2 Hf 2.85
Fe  0.0000  0.0000  0.0000 x4  4 Hf 2.57, 2 Os 2.85
Os  0.0000  0.0000  0.5000 x4  4 Hf 2.64, 2 Fe 2.85

Values from the calculation:
Density of states at the Fermi level   0.808 states/eV per atom
Volume   17.802 A^3/atom
Energy above the lowest structure with this stoichiometry   788.9 meV/atom
Formation energy from the elements   270.0 meV/atom



Here is an optimized crystal structure of CaScZn2Rh from Alexandria. Energies are from PBE.

Cell lengths 4.8673, 4.8673, 5.0043 Å; angles 90.00, 90.00, 90.00 degrees
With the nearest neighbours (Å) after each atom.
Space group P4/mmm (No. 123)
One atom of each set of equivalent atoms:
Ca  0.0000  0.0000  0.0000 x1  2 Rh 2.50
Sc  0.5000  0.5000  0.0000 x1  4 Ca 3.44, 8 Zn 3.49
Zn  0.0000  0.5000  0.5000 x2  2 Rh 2.43
Rh  0.0000  0.0000  0.5000 x1  4 Zn 2.43, 2 Ca 2.50

Values from the calculation:
Density of states at the Fermi level   1.175 states/eV per atom
Volume   23.711 A^3/atom
Formation energy from the elements   121.2 meV/atom



Here is an optimized crystal structure of DyEr2Tm5Th from Alexandria. Energies are from PBE.

Cell lengths 5.6202, 21.2560, 9.5980 Å; angles 90.00, 90.00, 90.00 degrees
With the nearest neighbours (Å) after each atom.
Space group Cmc2_1 (No. 36)
One atom of each set of equivalent atoms:
Dy  0.0000  0.1914  0.0000 x4  2 Er 3.22-3.39, 5 Tm 3.40-3.45, 2 Th 3.60
Er  0.0000  0.1144  0.3099 x4  9 Tm 3.29-3.65, 1 Dy 3.39, 1 Er 3.68
Er  0.0000  0.1309  0.6921 x4  1 Dy 3.22, 3 Tm 3.30-3.59, 2 Th 3.55
Tm  0.0000  0.0143  0.0010 x4  3 Er 3.29-3.65, 2 Th 3.42, 2 Tm 3.54
Tm  0.0000  0.2699  0.3091 x4  1 Th 3.02, 1 Er 3.30
Tm  0.0000  0.3057  0.7001 x4  4 Tm 3.40-3.65, 3 Dy 3.40-3.77, 3 Er 3.45-3.72, 1 Th 3.54
Tm  0.0000  0.3973  0.0220 x4  2 Tm 3.26-3.42, 4 Er 3.30-3.48
Tm  0.0000  0.4695  0.7225 x4  2 Th 3.18-3.35, 5 Tm 3.26-3.54, 2 Er 3.43
Th  0.0000  0.4052  0.4038 x4  3 Tm 3.02-3.35

Values from the calculation:
Density of states at the Fermi level   1.441 states/eV per atom
Volume   31.850 A^3/atom
Formation energy from the elements   169.4 meV/atom



Here is an optimized crystal structure of TbYPdRh from Alexandria. Energies are from PBE.

Cell lengths 6.9598, 6.9598, 6.9598 Å; angles 90.00, 90.00, 90.00 degrees
With the nearest neighbours (Å) after each atom.
Space group F-43m (No. 216)
One atom of each set of equivalent atoms:
Tb  0.0000  0.0000  0.0000 x4  4 Rh 3.01, 4 Pd 3.01
Y  0.0000  0.0000  0.5000 x4  4 Rh 3.01, 4 Pd 3.01
Pd  0.2500  0.2500  0.2500 x4  4 Tb 3.01, 4 Y 3.01
Rh  0.2500  0.2500  0.7500 x4  4 Tb 3.01, 4 Y 3.01

Values from the calculation:
Density of states at the Fermi level   0.518 states/eV per atom
Volume   21.071 A^3/atom
Formation energy from the elements   -860.2 meV/atom



Here is an optimized crystal structure of Pm4TlBi5 from Alexandria. Energies are from PBE.

Cell lengths 4.4894, 11.5235, 12.5485 Å; angles 90.00, 90.00, 90.00 degrees
With the nearest neighbours (Å) after each atom.
Space group Immm (No. 71)
One atom of each set of equivalent atoms:
Pm  0.0000  0.0000  0.2458 x4  5 Bi 3.08-3.23, 1 Tl 3.19
Pm  0.0000  0.2913  0.5000 x4  6 Bi 3.29-3.32, 1 Tl 3.36
Tl  0.0000  0.0000  0.5000 x2  4 Pm 3.19-3.36
Bi  0.0000  0.0000  0.0000 x2  6 Pm 3.08-3.29
Bi  0.0000  0.3234  0.1641 x8  4 Pm 3.23-3.32, 2 Bi 3.54

Values from the calculation:
Density of states at the Fermi level   0.395 states/eV per atom
Volume   32.459 A^3/atom
Formation energy from the elements   -654.5 meV/atom



Here is an optimized crystal structure of LiPmCdSi from Alexandria. Energies are from PBE.

Cell lengths 7.0388, 7.0388, 7.0388 Å; angles 90.00, 90.00, 90.00 degrees
With the nearest neighbours (Å) after each atom.
Space group F-43m (No. 216)
One atom of each set of equivalent atoms:
Li  0.0000  0.0000  0.0000 x4  4 Cd 3.05, 4 Si 3.05
Pm  0.0000  0.0000  0.5000 x4  4 Si 3.05, 4 Cd 3.05
Cd  0.2500  0.2500  0.2500 x4  4 Li 3.05, 4 Pm 3.05
Si  0.2500  0.2500  0.7500 x4  4 Li 3.05, 4 Pm 3.05

Values from the calculation:
Raw formation energy   -0.305 eV per atom
Density of states at the Fermi level   0.457 states/eV per atom
Volume   21.796 A^3/atom



Here is an optimized crystal structure of AlTlAg2S4 from Alexandria. Energies are from PBE.

Cell lengths 5.8626, 5.8626, 11.1500 Å; angles 90.00, 90.00, 90.00 degrees
With the nearest neighbours (Å) after each atom.
Space group I-4 (No. 82)
One atom of each set of equivalent atoms:
Al  0.0000  0.0000  0.0000 x2  4 S 2.28
Tl  0.0000  0.5000  0.7500 x2  4 S 2.59
Ag  0.0000  0.0000  0.5000 x2  4 S 2.59
Ag  0.0000  0.5000  0.2500 x2  4 S 2.56
S  0.2261  0.7696  0.1140 x8  1 Al 2.28

Values from the calculation:
Raw formation energy   -0.442 eV per atom
Volume   23.952 A^3/atom



Here is an optimized crystal structure of MgSc2In from Alexandria. Energies are from PBE.

Cell lengths 3.2421, 4.3580, 6.4271 Å; angles 90.00, 90.09, 90.00 degrees
With the nearest neighbours (Å) after each atom.
Space group P2/m (No. 10)
One atom of each set of equivalent atoms:
Mg  0.0000  0.0000  0.0000 x1  8 Sc 3.16-3.17, 2 In 3.21, 2 Mg 3.24
Sc  0.4996  0.5000  0.2534 x2  4 In 3.14-3.15, 4 Mg 3.16-3.17, 4 Sc 3.17-3.26
In  0.0000  0.0000  0.5000 x1  8 Sc 3.14-3.15, 2 Mg 3.21, 2 In 3.24

Values from the calculation:
Density of states at the Fermi level   0.784 states/eV per atom
Volume   22.702 A^3/atom
Energy above the lowest structure with this stoichiometry   32.4 meV/atom
Formation energy from the elements   -265.2 meV/atom



Here is an optimized crystal structure of YAg2Os from Alexandria. Energies are from PBE.

Cell lengths 4.0952, 4.0952, 9.0240 Å; angles 90.00, 90.00, 90.00 degrees
With the nearest neighbours (Å) after each atom.
Space group I4/mmm (No. 139)
One atom of each set of equivalent atoms:
Y  0.0000  0.0000  0.0000 x2  4 Os 2.90, 8 Ag 3.05
Ag  0.0000  0.5000  0.2500 x4  4 Ag 2.90, 4 Os 3.05, 4 Y 3.05
Os  0.0000  0.0000  0.5000 x2  4 Y 2.90, 8 Ag 3.05

Values from the calculation:
Density of states at the Fermi level   1.210 states/eV per atom
Volume   18.918 A^3/atom
Energy above the lowest structure with this stoichiometry   36.0 meV/atom
Formation energy from the elements   202.8 meV/atom



Here is an optimized crystal structure of KRb2AlI6 from Alexandria. Energies are from PBE.

Cell lengths 8.8458, 8.8458, 20.2436 Å; angles 90.00, 90.00, 120.00 degrees
With the nearest neighbours (Å) after each atom.
Space group R3 (No. 146, hexagonal axes)
One atom of each set of equivalent atoms:
K  0.0000  0.0000  0.0000 x3  6 I 3.50
Rb  0.0000  0.0000  0.2644 x3  6 I 3.74-3.90
Rb  0.0000  0.0000  0.7346 x3  6 I 3.74-3.89
Al  0.0000  0.0000  0.4998 x3  6 I 2.80
I  0.0497  0.4431  0.2457 x9  1 Al 2.80
I  0.1095  0.7261  0.0870 x9  1 Al 2.80

Values from the calculation:
Raw formation energy   -1.105 eV per atom
Density of states at the Fermi level   0.000 states/eV per atom
Volume   45.728 A^3/atom



What did the third record say?
Here is an optimized crystal structure of Hf2FeOs from Alexandria. Energies are from PBE.

Cell lengths 7.0726, 7.0726, 5.6940 Å; angles 90.00, 90.00, 90.00 degrees
With the nearest neighbours (Å) after each atom.
Space group I-42d (No. 122)
One atom of each set of equivalent atoms:
Hf  0.2427  0.2500  0.1250 x8  2 Fe 2.57, 2 Os 2.64, 2 Hf 2.85
Fe  0.0000  0.0000  0.0000 x4  4 Hf 2.57, 2 Os 2.85
Os  0.0000  0.0000  0.5000 x4  4 Hf 2.64, 2 Fe 2.85

Values from the calculation:
Density of states at the Fermi level   0.808 states/eV per atom
Volume   17.802 A^3/atom
Energy above the lowest structure with this stoichiometry   788.9 meV/atom
Formation energy from the elements   270.0 meV/atom